Entry 1:
The following is a DFT calculation (PBE-GGA) of a geometry-optimized PrHoCrN3 structure.

Results
ρ, g/cm3: 7.140
Raw formation energy, meV per atom: -1091
Size of the total moment, μB per cell: 0.00

Lattice parameters (Å, degrees): 7.3530 3.4301 7.4794 90.00 99.63 90.00
Closest atoms and distances in Å follow each position.
Space group P2_1/m (No. 11)
One atom of each set of equivalent atoms:
Pr: 0.1867 0.2500 0.1832 (multiplicity 2)  3 N 2.46-2.47
Ho: 0.1676 0.2500 0.6351 (multiplicity 2)  6 N 2.30-2.55
Cr: 0.4018 0.7500 0.9178 (multiplicity 2)  4 N 1.80-1.94
N: 0.1491 0.7500 0.4107 (multiplicity 2)  3 Ho 2.30-2.39, 2 Pr 2.46
N: 0.1540 0.7500 0.8742 (multiplicity 2)  1 Cr 1.80
N: 0.4819 0.2500 0.8385 (multiplicity 2)  3 Cr 1.88-1.94


Entry 2:
The following is a DFT calculation (PBE-GGA) of a geometry-optimized BaNaS2 structure.

Results
ρ, g/cm3: 2.665
Raw formation energy, meV per atom: -1014
Size of the total moment, μB per cell: 4.00

Lattice parameters (Å, degrees): 5.9317 5.9317 15.8975 90.00 90.00 90.00
Closest atoms and distances in Å follow each position.
Space group I-42d (No. 122)
One atom of each set of equivalent atoms:
Ba: 0.0000 0.0000 0.0000 (multiplicity 4)  4 S 3.07
Na: 0.0000 0.0000 0.5000 (multiplicity 4)  4 S 2.74
S: 0.1959 0.2500 0.6250 (multiplicity 8)  2 Na 2.74, 2 Ba 3.07


Entry 3:
The following is a DFT calculation (PBE-GGA) of a geometry-optimized La2TiBiPd structure.

Results
ρ, g/cm3: 5.675
Energy of formation, eV/atom: 0.60
Distance to the lowest polymorph of the same formula, eV/atom: 0.6047
Size of the total moment, μB per cell: 0.03

Lattice parameters (Å, degrees): 6.0764 6.0764 5.0806 90.00 90.00 90.00
Closest atoms and distances in Å follow each position.
Space group P4/mmm (No. 123)
One atom of each set of equivalent atoms:
La: 0.0000 0.5000 0.0000 (multiplicity 2)  2 Bi 3.04
Ti: 0.0000 0.0000 0.5000 (multiplicity 1)  2 Bi 2.54
Bi: 0.0000 0.0000 0.0000 (multiplicity 1)  2 Ti 2.54
Pd: 0.5000 0.5000 0.5000 (multiplicity 1)  8 La 3.96, 4 Ti 4.30


Entry 4:
The following is a DFT calculation (PBE-GGA) of a geometry-optimized KPd2F6 structure.

Results
ρ, g/cm3: 3.326
Raw formation energy, meV per atom: -1501
Distance to the lowest polymorph of the same formula, eV/atom: 0.0727
Size of the total moment, μB per cell: 2.23

Lattice parameters (Å, degrees): 14.4894 4.0325 6.2639 90.00 93.13 90.00
Closest atoms and distances in Å follow each position.
Space group C2/m (No. 12)
One atom of each set of equivalent atoms:
K: 0.0000 0.0000 0.0000 (multiplicity 2)  6 F 2.67-2.68
Pd: 0.2332 0.5000 0.2302 (multiplicity 4)  4 F 1.91-2.03
F: 0.1008 0.5000 0.1705 (multiplicity 4)  1 Pd 1.94
F: 0.1350 0.0000 0.7262 (multiplicity 4)  1 Pd 1.91
F: 0.2286 0.0000 0.2718 (multiplicity 4)  2 Pd 2.03


Entry 5:
The following is a DFT calculation (PBE-GGA) of a geometry-optimized K2ZnW structure.

Results
ρ, g/cm3: 5.933
Energy of formation, eV/atom: 1.34
Size of the total moment, μB per cell: 0.26

Lattice parameters (Å, degrees): 2.8198 5.3302 6.0980 90.00 90.00 90.00
Closest atoms and distances in Å follow each position.
Space group Pmmm (No. 47)
One atom of each set of equivalent atoms:
K: 0.0000 0.0000 0.0000 (multiplicity 1)  6 K 2.82-3.02
K: 0.5000 0.5000 0.0000 (multiplicity 1)  6 K 2.82-3.02
Zn: 0.0000 0.5000 0.5000 (multiplicity 1)  2 Zn 2.82, 4 W 3.02
W: 0.5000 0.0000 0.5000 (multiplicity 1)  2 W 2.82, 4 Zn 3.02


Entry 6:
The following is a DFT calculation (PBE-GGA) of a geometry-optimized BaNiSb2I structure.

Results
ρ, g/cm3: 5.611
Raw formation energy, meV per atom: -388
Size of the total moment, μB per cell: 0.93

Lattice parameters (Å, degrees): 4.9193 4.9193 6.9273 90.00 90.00 90.00
Closest atoms and distances in Å follow each position.
Space group P4/mmm (No. 123)
One atom of each set of equivalent atoms:
Ba: 0.0000 0.0000 0.0000 (multiplicity 1)  4 I 3.48
Ni: 0.5000 0.5000 0.5000 (multiplicity 1)  4 Sb 2.46
Sb: 0.0000 0.5000 0.5000 (multiplicity 2)  2 Ni 2.46
I: 0.5000 0.5000 0.0000 (multiplicity 1)  2 Ni 3.46, 4 Ba 3.48


- Which value of size of the total moment does entry 2 give?
  4.00 μB per cell


Please write out number 6 again, unchanged.
The following is a DFT calculation (PBE-GGA) of a geometry-optimized BaNiSb2I structure.

Results
ρ, g/cm3: 5.611
Raw formation energy, meV per atom: -388
Size of the total moment, μB per cell: 0.93

Lattice parameters (Å, degrees): 4.9193 4.9193 6.9273 90.00 90.00 90.00
Closest atoms and distances in Å follow each position.
Space group P4/mmm (No. 123)
One atom of each set of equivalent atoms:
Ba: 0.0000 0.0000 0.0000 (multiplicity 1)  4 I 3.48
Ni: 0.5000 0.5000 0.5000 (multiplicity 1)  4 Sb 2.46
Sb: 0.0000 0.5000 0.5000 (multiplicity 2)  2 Ni 2.46
I: 0.5000 0.5000 0.0000 (multiplicity 1)  2 Ni 3.46, 4 Ba 3.48


- Which of these has the highest size of the total moment?
  BaNaS2